The following is a GGA-PBE calculation of crystalline TaMnTe at its relaxed geometry, from Alexandria. Values from VASP.

Structure (Quantum ESPRESSO input):
```
&SYSTEM
  ibrav = 0, nat = 3, ntyp = 3
/
ATOMIC_SPECIES
Ta 180.95 Ta.upf
Mn 54.94 Mn.upf
Te 127.60 Te.upf
CELL_PARAMETERS angstrom
4.3314 0.0000 0.0000
-2.1657 3.7511 0.0000
0.0000 0.0000 3.0932
ATOMIC_POSITIONS crystal
Ta 0.0000 0.0000 0.0000
Mn 0.3333 0.6667 0.5000
Te 0.6667 0.3333 0.5000
```

## Properties
* Fermi-level density of states: 0.9 states/eV per cell
* calculated density: 12.01 Mg/m³
* uncorrected formation energy: 7.58 kcal/mol of atoms
* total DFT energy (no corrections): -7.73 eV per atom
* E above lowest polymorph: 399 meV per atom
* SG: P-6m2


The following is a GGA-PBE calculation of crystalline PrLuFe4 at its relaxed geometry, from Alexandria. Values from VASP.

Structure (Quantum ESPRESSO input):
```
&SYSTEM
  ibrav = 0, nat = 6, ntyp = 3
/
ATOMIC_SPECIES
Pr 140.91 Pr.upf
Lu 174.97 Lu.upf
Fe 55.84 Fe.upf
CELL_PARAMETERS angstrom
0.0000 3.6650 3.6650
3.6650 0.0000 3.6650
3.6650 3.6650 0.0000
ATOMIC_POSITIONS crystal
Pr 0.0000 0.0000 0.0000
Lu 0.7500 0.7500 0.7500
Fe 0.3757 0.3757 0.3757
Fe 0.3757 0.3757 0.8728
Fe 0.3757 0.8728 0.3757
Fe 0.8728 0.3757 0.3757
```

## Properties
* Fermi-level density of states: 6.8 states/eV per cell
* calculated density: 9.09 Mg/m³
* total DFT energy (no corrections): -7.21 eV per atom
* calculated formation energy: -0.02 eV/atom
* SG: F-43m


The following is a GGA-PBE calculation of crystalline MnFe4H at its relaxed geometry, from Alexandria. Values from VASP.

Structure (Quantum ESPRESSO input):
```
&SYSTEM
  ibrav = 0, nat = 12, ntyp = 3
/
ATOMIC_SPECIES
Mn 54.94 Mn.upf
Fe 55.84 Fe.upf
H 1.01 H.upf
CELL_PARAMETERS angstrom
6.0610 -2.4886 0.0000
6.0610 2.4886 0.0000
-1.3318 0.0000 3.8362
ATOMIC_POSITIONS crystal
Mn 0.1924 0.1924 0.1909
Mn 0.8076 0.8076 0.8091
Fe 0.1240 0.6340 0.3753
Fe 0.2336 0.7664 0.0000
Fe 0.3121 0.3121 0.8118
Fe 0.3660 0.8760 0.6247
Fe 0.6340 0.1240 0.3753
Fe 0.6879 0.6879 0.1882
Fe 0.7664 0.2336 0.0000
Fe 0.8760 0.3660 0.6247
H 0.4430 0.4430 0.6943
H 0.5570 0.5570 0.3057
```

## Properties
* Fermi-level density of states: 10.0 states/eV per cell
* calculated density: 8.02 Mg/m³
* total DFT energy (no corrections): -7.59 eV per atom
* SG: C2/m


The following is a GGA-PBE calculation of crystalline Ac8Ru3CBr3 at its relaxed geometry, from Alexandria. Values from VASP.

Structure (Quantum ESPRESSO input):
```
&SYSTEM
  ibrav = 0, nat = 15, ntyp = 4
/
ATOMIC_SPECIES
Ac 227.00 Ac.upf
Ru 101.07 Ru.upf
C 12.01 C.upf
Br 79.90 Br.upf
CELL_PARAMETERS angstrom
7.4015 -4.2687 0.0000
7.4015 4.2687 0.0000
-4.9508 0.0000 8.2465
ATOMIC_POSITIONS crystal
Ac 0.2215 0.7393 0.6815
Ac 0.2215 0.2215 0.6818
Ac 0.2607 0.7785 0.3185
Ac 0.2650 0.2650 0.2961
Ac 0.7350 0.7350 0.7039
Ac 0.7393 0.2215 0.6815
Ac 0.7785 0.7785 0.3182
Ac 0.7785 0.2607 0.3185
Ru 0.0000 0.5000 0.5000
Ru 0.5000 0.0000 0.5000
Ru 0.5000 0.5000 0.5000
C 0.0000 0.0000 0.5000
Br 0.0000 0.0000 0.0000
Br 0.0000 0.5000 0.0000
Br 0.5000 0.0000 0.0000
```

## Properties
* Fermi-level density of states: 8.9 states/eV per cell
* calculated density: 7.56 Mg/m³
* uncorrected formation energy: -14.35 kcal/mol of atoms
* total DFT energy (no corrections): -5.62 eV per atom
* SG: C2/m


The following is a GGA-PBE calculation of crystalline LaNi3Ru at its relaxed geometry, from Alexandria. Values from VASP.

Structure (Quantum ESPRESSO input):
```
&SYSTEM
  ibrav = 0, nat = 5, ntyp = 3
/
ATOMIC_SPECIES
La 138.91 La.upf
Ni 58.69 Ni.upf
Ru 101.07 Ru.upf
CELL_PARAMETERS angstrom
4.5711 0.0000 0.0000
0.0000 4.5711 0.0000
0.0000 0.0000 4.5711
ATOMIC_POSITIONS crystal
La 0.0000 0.0000 0.0000
Ni 0.0000 0.5000 0.5000
Ni 0.5000 0.0000 0.5000
Ni 0.5000 0.5000 0.0000
Ru 0.5000 0.5000 0.5000
```

## Properties
* Fermi-level density of states: 5.7 states/eV per cell
* calculated density: 7.23 Mg/m³
* total DFT energy (no corrections): -5.94 eV per atom
* calculated formation energy: 0.37 eV/atom
* E above lowest polymorph: 0 meV per atom
* SG: Pm-3m


The following is a GGA-PBE calculation of crystalline Dy2Ge4RuPt3 at its relaxed geometry, from Alexandria. Values from VASP.

Structure (Quantum ESPRESSO input):
```
&SYSTEM
  ibrav = 0, nat = 10, ntyp = 4
/
ATOMIC_SPECIES
Dy 162.50 Dy.upf
Ge 72.64 Ge.upf
Ru 101.07 Ru.upf
Pt 195.08 Pt.upf
CELL_PARAMETERS angstrom
4.1906 0.0000 0.0000
0.0000 4.1906 0.0000
0.0000 0.0000 10.5170
ATOMIC_POSITIONS crystal
Dy 0.0000 0.5000 0.2476
Dy 0.5000 0.0000 0.7524
Ge 0.0000 0.0000 0.5000
Ge 0.0000 0.5000 0.8703
Ge 0.5000 0.0000 0.1297
Ge 0.5000 0.5000 0.5000
Ru 0.5000 0.5000 0.0000
Pt 0.0000 0.0000 0.0000
Pt 0.0000 0.5000 0.6383
Pt 0.5000 0.0000 0.3617
```

## Properties
* Fermi-level density of states: 3.4 states/eV per cell
* calculated density: 11.71 Mg/m³
* total DFT energy (no corrections): -6.36 eV per atom
* calculated formation energy: -0.85 eV/atom
* SG: P-4m2